The following is a PBE calculation of In2WBr after structural relaxation, from Alexandria.

Properties
SG: P4mm
total magnetization: 0.0 μB/f.u.
DOS at the Fermi energy: 3.393 states/eV/cell
energy relative to the lowest polymorph listed for this composition: 160 meV per atom

Lattice parameters (Å, degrees): 3.117 3.117 9.682 90.00 90.00 90.00
Positions (direct):
In (0.500, 0.500, 0.296)
In (0.000, 0.000, 0.029)
W (0.000, 0.000, 0.504)
Br (0.500, 0.500, 0.671)